(1)
## Rb2TbSnSe4 (PBE)

Data for a geometry-optimized Rb2TbSnSe4 structure.

The space group is I-4 (No. 82) and the conventional cell measures 7.900, 7.900 and 10.149 Å, with angles of 90.00, 90.00 and 90.00 degrees. Symmetry generates all atoms from Rb at (0.000, 0.000, 0.000), Rb at (0.000, 0.500, 0.250), Tb at (0.000, 0.000, 0.500), Sn at (0.000, 0.500, 0.750) and Se at (0.176, 0.253, 0.624).

Its crystal system is tetragonal. Its uncorrected energy is -4.149 eV per atom. For the formation energy from raw total energies, the calculation gives -1086.0 meV per atom.

(2)
## BaInSn2Ru (PBE)

Data for a geometry-optimized BaInSn2Ru structure.

The space group is P4/mmm (No. 123) and the conventional cell measures 5.221, 5.221 and 5.236 Å, with angles of 90.00, 90.00 and 90.00 degrees. Symmetry generates all atoms from Ba at (0.000, 0.000, 0.000), In at (0.500, 0.500, 0.000), Sn at (0.000, 0.500, 0.500) and Ru at (0.500, 0.500, 0.500).

Its crystal system is tetragonal. Its uncorrected energy is -4.591 eV per atom.

(3)
## CaV3Br (PBE)

Data for a geometry-optimized CaV3Br structure.

The space group is Pm-3m (No. 221) and the conventional cell measures 4.670, 4.670 and 4.670 Å, with angles of 90.00, 90.00 and 90.00 degrees. Symmetry generates all atoms from Ca at (0.000, 0.000, 0.000), V at (0.000, 0.500, 0.500) and Br at (0.500, 0.500, 0.500).

Its crystal system is cubic. Its uncorrected energy is -5.291 eV per atom. For the formation energy from raw total energies, the calculation gives 914.9 meV per atom. The calculation puts the excess energy over the best structure of this formula in the dataset at 0.00 kcal/mol of atoms.

(4)
## AlCdAu2 (PBE)

Data for a geometry-optimized AlCdAu2 structure.

The space group is F-43m (No. 216) and the conventional cell measures 6.637, 6.637 and 6.637 Å, with angles of 90.00, 90.00 and 90.00 degrees. Symmetry generates all atoms from Al at (0.000, 0.000, 0.000), Cd at (0.250, 0.250, 0.750), Au at (0.000, 0.000, 0.500) and Au at (0.250, 0.250, 0.250).

Its crystal system is cubic. Its uncorrected energy is -2.835 eV per atom. The calculation puts the excess energy over the best structure of this formula in the dataset at 5.43 kcal/mol of atoms.

(5)
## K3CaMo (PBE)

Data for a geometry-optimized K3CaMo structure.

The space group is Pm-3m (No. 221) and the conventional cell measures 6.812, 6.812 and 6.812 Å, with angles of 90.00, 90.00 and 90.00 degrees. Symmetry generates all atoms from K at (0.000, 0.000, 0.500), Ca at (0.500, 0.500, 0.500) and Mo at (0.000, 0.000, 0.000).

Its crystal system is cubic. Its uncorrected energy is -2.035 eV per atom. The calculation puts the excess energy over the best structure of this formula in the dataset at 0.00 kcal/mol of atoms.

(6)
## TcPHOs (PBE)

Data for a geometry-optimized TcPHOs structure.

The space group is Pm (No. 6) and the conventional cell measures 3.941, 2.852 and 4.303 Å, with angles of 90.00, 110.52 and 90.00 degrees. Symmetry generates all atoms from Tc at (0.000, 0.000, 0.000), P at (0.387, 0.500, 0.830), H at (0.935, 0.000, 0.396) and Os at (0.637, 0.500, 0.420).

Its crystal system is monoclinic. Its uncorrected energy is -7.571 eV per atom. The calculation puts the excess energy over the best structure of this formula in the dataset at 1.84 kcal/mol of atoms.

(7)
## Y2CdGe2 (PBE)

Data for a geometry-optimized Y2CdGe2 structure.

The space group is P4/mbm (No. 127) and the conventional cell measures 8.451, 8.451 and 3.447 Å, with angles of 90.00, 90.00 and 90.00 degrees. Symmetry generates all atoms from Y at (0.141, 0.359, 0.000), Cd at (0.000, 0.000, 0.000) and Ge at (0.165, 0.665, 0.500).

Its crystal system is tetragonal. Its uncorrected energy is -5.030 eV per atom.

(8)
## Rb3BaIn8 (PBE)

Data for a geometry-optimized Rb3BaIn8 structure.

The space group is R3m (No. 160, hexagonal axes) and the conventional cell measures 6.5554, 6.5554 and 32.0572 Å, with angles of 90.00, 90.00 and 120.00 degrees. Symmetry generates all atoms from Rb at (0.0000, 0.0000, 0.0000), Rb at (0.0000, 0.0000, 0.1236), Rb at (0.0000, 0.0000, 0.6272), Ba at (0.0000, 0.0000, 0.5015), In at (0.0000, 0.0000, 0.3151), In at (0.0000, 0.0000, 0.8121), In at (0.0017, 0.5008, 0.0645) and In at (0.1676, 0.3351, 0.8950).

Its crystal system is trigonal. Its uncorrected energy is -2.394 eV per atom.